Compound: TlAuI2
Source: Alexandria
Functional: PBE-GGA
Structure: optimized geometry

Cell: 5.5816 5.5816 8.8608 Å, 71.64 71.64 60.00°
Fractional coordinates of all 4 atoms:
1 I 0.8960 0.8960 0.3120
2 I 0.1040 0.1040 0.6880
3 Tl 0.5000 0.5000 0.5000
4 Au 0.0000 0.0000 0.0000

Properties
The value obtained for the density is 4.89 Mg/m³. The calculation puts the total energy at -2.52 eV/atom. The value obtained for the total magnetization is 0.000 μB per atom.